(1)
DFT (GGA-PBEsol) results for crystalline CoTeO3 at its relaxed geometry.

- formation energy from raw total energies (eV/atom) = -0.838
- DOS(E_F) (states/eV per atom) = 0.938

Cell and atoms, written as POSCAR:
```
CoTeO3
1.0
6.022 0.000 0.000
0.000 7.142 0.000
0.000 0.000 5.207
Co Te O
4 4 12
Cartesian
0.000 0.000 0.000
0.000 3.571 0.000
3.011 0.000 2.603
3.011 3.571 2.603
0.197 1.786 2.501
2.814 5.357 5.104
3.208 1.786 0.102
5.825 5.357 2.706
0.235 5.357 0.769
1.083 3.969 3.318
1.083 6.744 3.318
1.928 0.398 0.715
1.928 3.173 0.715
2.776 1.786 3.372
3.247 5.357 1.835
4.094 3.969 4.492
4.094 6.744 4.492
4.939 0.398 1.889
4.939 3.173 1.889
5.787 1.786 4.438
```



(2)
DFT (GGA-PBEsol) results for crystalline Cs2RbYBr6 at its relaxed geometry.

- formation energy from raw total energies (eV/atom) = -1.824
- DOS(E_F) (states/eV per atom) = 0.000

Cell and atoms, written as POSCAR:
```
Cs2RbYBr6
1.0
0.000 5.931 5.931
5.931 0.000 5.931
5.931 5.931 0.000
Cs Rb Y Br
2 1 1 6
Cartesian
2.965 2.965 2.965
8.896 8.896 8.896
0.000 0.000 0.000
5.931 5.931 5.931
5.931 5.931 3.179
5.931 3.179 5.931
8.683 5.931 5.931
3.179 5.931 5.931
5.931 8.683 5.931
5.931 5.931 8.683
```



(3)
DFT (GGA-PBEsol) results for crystalline Ca2CdSe at its relaxed geometry.

- formation energy from raw total energies (eV/atom) = -0.910
- relative energy among the computed polymorphs (meV per atom) = 90
- DOS(E_F) (states/eV per atom) = 0.594

Cell and atoms, written as POSCAR:
```
Ca2CdSe
1.0
-1.851 1.978 7.802
1.851 -1.978 7.802
1.851 1.978 -7.802
Ca Cd Se
2 1 1
Cartesian
0.000 0.000 0.000
0.000 1.978 3.443
1.851 0.000 5.148
0.000 0.000 8.934
```



(4)
DFT (GGA-PBEsol) results for crystalline TiCoRu3 at its relaxed geometry.

- DOS(E_F) (states/eV per atom) = 1.489
- energy of formation from the pure elements (meV per atom) = 1155

Cell and atoms, written as POSCAR:
```
TiCoRu3
1.0
4.309 0.000 0.000
0.000 4.309 0.000
0.000 0.000 4.309
Ti Co Ru
1 1 3
Cartesian
0.000 0.000 0.000
2.154 2.154 2.154
0.000 2.154 2.154
2.154 0.000 2.154
2.154 2.154 0.000
```



(5)
DFT (GGA-PBEsol) results for crystalline BeAgRh2 at its relaxed geometry.

- DOS(E_F) (states/eV per atom) = 1.330
- energy of formation from the pure elements (meV per atom) = -124

Cell and atoms, written as POSCAR:
```
BeAgRh2
1.0
2.750 0.000 0.000
0.000 2.750 0.000
0.000 0.000 6.720
Be Ag Rh
1 1 2
Cartesian
0.000 0.000 0.000
0.000 0.000 3.360
1.375 1.375 1.334
1.375 1.375 5.386
```



(6)
DFT (GGA-PBEsol) results for crystalline PdSeIBr2 at its relaxed geometry.

- formation energy from raw total energies (eV/atom) = 0.130
- DOS(E_F) (states/eV per atom) = 0.989

Cell and atoms, written as POSCAR:
```
PdSeIBr2
1.0
4.956 0.000 0.000
0.000 4.956 0.000
0.000 0.000 5.083
Pd Se I Br
1 1 1 2
Cartesian
0.000 0.000 0.000
0.000 0.000 2.541
2.478 2.478 2.541
0.000 2.478 0.000
2.478 0.000 0.000
```



(7)
DFT (GGA-PBEsol) results for crystalline Sb2IrRu at its relaxed geometry.

- formation energy from raw total energies (eV/atom) = 0.317
- relative energy among the computed polymorphs (meV per atom) = 279
- DOS(E_F) (states/eV per atom) = 0.597

Cell and atoms, written as POSCAR:
```
Sb2IrRu
1.0
-1.921 1.921 4.765
1.921 -1.921 4.765
1.921 1.921 -4.765
Sb Ir Ru
2 1 1
Cartesian
0.000 0.000 0.000
0.000 1.921 2.382
0.000 0.000 4.765
1.921 0.000 2.382
```



(8)
DFT (GGA-PBEsol) results for crystalline BeGeRu2 at its relaxed geometry.

- DOS(E_F) (states/eV per atom) = 0.726
- energy of formation from the pure elements (meV per atom) = -287

Cell and atoms, written as POSCAR:
```
BeGeRu2
1.0
0.000 2.885 2.885
2.885 0.000 2.885
2.885 2.885 0.000
Be Ge Ru
1 1 2
Cartesian
0.000 0.000 0.000
2.885 2.885 2.885
1.442 1.442 1.442
4.327 4.327 4.327
```



(9)
DFT (GGA-PBEsol) results for crystalline Hf2TiCdPb at its relaxed geometry.

- DOS(E_F) (states/eV per atom) = 1.005
- energy of formation from the pure elements (meV per atom) = 1253

Cell and atoms, written as POSCAR:
```
Hf2TiCdPb
1.0
5.262 0.000 0.000
0.000 5.262 0.000
0.000 0.000 5.013
Hf Ti Cd Pb
2 1 1 1
Cartesian
0.000 2.631 0.000
2.631 0.000 0.000
0.000 0.000 2.507
2.631 2.631 2.507
0.000 0.000 0.000
```



(10)
DFT (GGA-PBEsol) results for crystalline Sb at its relaxed geometry.

- formation energy from raw total energies (eV/atom) = 0.171
- relative energy among the computed polymorphs (meV per atom) = 171
- DOS(E_F) (states/eV per atom) = 0.678

Cell and atoms, written as POSCAR:
```
Sb
1.0
-1.862 1.862 1.862
1.862 -1.862 1.862
1.862 1.862 -1.862
Sb
1
Cartesian
0.000 0.000 0.000
```



(11)
DFT (GGA-PBEsol) results for crystalline LiTm2Pt at its relaxed geometry.

- DOS(E_F) (states/eV per atom) = 0.670
- energy of formation from the pure elements (meV per atom) = -698

Cell and atoms, written as POSCAR:
```
LiTm2Pt
1.0
0.000 3.420 3.420
3.420 0.000 3.420
3.420 3.420 0.000
Li Tm Pt
1 2 1
Cartesian
0.000 0.000 0.000
1.710 1.710 1.710
5.130 5.130 5.130
3.420 3.420 3.420
```



(12)
DFT (GGA-PBEsol) results for crystalline V2P2O7 at its relaxed geometry.

- formation energy from raw total energies (eV/atom) = -2.003
- relative energy among the computed polymorphs (meV per atom) = 9

Cell and atoms, written as POSCAR:
```
V2P2O7
1.0
3.262 -4.217 0.000
3.262 4.217 0.000
-0.844 0.000 4.369
V P O
2 2 7
Cartesian
3.262 2.640 0.000
3.262 -2.640 0.000
1.321 0.000 2.581
4.359 0.000 1.789
1.088 1.285 3.386
0.587 0.000 1.231
1.088 -1.285 3.386
2.840 0.000 2.185
4.593 1.285 0.983
5.093 0.000 3.138
4.593 -1.285 0.983
```



(13)
DFT (GGA-PBEsol) results for crystalline SrIn5 at its relaxed geometry.

- relative energy among the computed polymorphs (meV per atom) = 0
- DOS(E_F) (states/eV per atom) = 0.619
- energy of formation from the pure elements (meV per atom) = -192

Cell and atoms, written as POSCAR:
```
SrIn5
1.0
0.000 4.348 4.348
4.348 0.000 4.348
4.348 4.348 0.000
Sr In
1 5
Cartesian
0.000 0.000 0.000
3.266 3.266 3.266
5.431 5.431 3.266
5.431 3.266 5.431
6.523 6.523 6.523
3.266 5.431 5.431
```



(14)
DFT (GGA-PBEsol) results for crystalline Dy14Ag51 at its relaxed geometry.

- DOS(E_F) (states/eV per atom) = 0.457
- energy of formation from the pure elements (meV per atom) = -258

Cell and atoms, written as POSCAR:
```
Dy14Ag51
1.0
12.479 0.000 0.000
-6.240 10.807 0.000
0.000 0.000 9.159
Dy Ag
14 51
Cartesian
0.000 0.000 1.764
0.000 0.000 7.395
-3.138 7.900 4.580
-1.183 5.084 0.000
0.967 4.139 4.580
-1.245 9.289 0.000
4.269 1.227 4.580
3.772 3.529 0.000
2.428 7.241 0.000
2.171 9.575 4.580
7.537 1.502 0.000
5.168 6.497 4.580
7.410 5.776 0.000
9.282 3.084 4.580
-4.417 8.881 0.000
-0.728 2.941 2.358
-0.728 2.941 6.802
-2.871 7.206 1.530
-2.871 7.206 7.630
-1.673 5.380 3.189
-1.673 5.380 5.970
1.580 0.043 4.580
0.756 2.542 0.000
-3.328 9.967 2.358
-3.328 9.967 6.802
2.630 0.646 0.000
2.088 2.002 2.495
2.088 2.002 6.665
1.434 4.718 1.530
1.434 4.718 7.630
0.000 7.205 1.809
0.000 7.205 4.580
0.000 7.205 7.350
-0.743 9.566 3.189
-0.743 9.566 5.970
4.862 1.131 1.530
4.862 1.131 7.629
3.783 4.044 3.177
3.783 4.044 5.983
2.417 6.668 3.189
2.417 6.668 5.970
1.436 9.690 1.530
1.436 9.690 7.630
7.086 1.254 3.177
7.086 1.254 5.983
4.788 6.031 1.530
4.788 6.031 7.629
6.240 3.602 1.802
6.240 3.602 4.580
6.240 3.602 7.357
4.056 8.706 2.358
4.056 8.706 6.802
3.660 10.191 0.000
9.702 0.807 2.495
9.702 0.807 6.665
5.485 8.207 0.000
5.487 9.418 4.580
7.850 5.510 3.177
7.850 5.510 5.983
9.069 3.645 1.530
9.069 3.645 7.629
6.929 7.998 2.495
6.929 7.998 6.665
10.605 1.954 0.000
11.652 1.347 4.580
```



(15)
DFT (GGA-PBEsol) results for crystalline BaTl2Cl at its relaxed geometry.

- formation energy from raw total energies (eV/atom) = -0.808
- relative energy among the computed polymorphs (meV per atom) = 51
- DOS(E_F) (states/eV per atom) = 0.713

Cell and atoms, written as POSCAR:
```
BaTl2Cl
1.0
4.767 -2.265 0.000
4.767 2.265 0.000
-3.252 0.000 6.382
Ba Tl Cl
1 2 1
Cartesian
0.000 0.000 0.000
3.401 0.000 3.303
6.297 0.000 2.495
-0.329 0.000 5.858
```



(16)
DFT (GGA-PBEsol) results for crystalline Sr2Cl at its relaxed geometry.

- formation energy from raw total energies (eV/atom) = -0.895
- DOS(E_F) (states/eV per atom) = 0.997

Cell and atoms, written as POSCAR:
```
Sr2Cl
1.0
4.823 0.000 0.000
-2.411 4.177 0.000
0.000 0.000 14.378
Sr Cl
4 2
Cartesian
0.000 0.000 0.000
0.000 0.000 7.189
0.000 2.784 3.595
2.411 1.392 10.784
0.000 2.784 10.784
2.411 1.392 3.595
```



(17)
DFT (GGA-PBEsol) results for crystalline Zr2BeBr at its relaxed geometry.

- formation energy from raw total energies (eV/atom) = -0.161
- relative energy among the computed polymorphs (meV per atom) = 0
- DOS(E_F) (states/eV per atom) = 0.508

Cell and atoms, written as POSCAR:
```
Zr2BeBr
1.0
3.750 0.000 0.000
0.000 3.750 0.000
0.000 0.000 5.183
Zr Be Br
2 1 1
Cartesian
0.000 0.000 0.000
1.875 1.875 2.591
0.000 0.000 2.591
1.875 1.875 0.000
```



(18)
DFT (GGA-PBEsol) results for crystalline Be2FeTe at its relaxed geometry.

- formation energy from raw total energies (eV/atom) = 0.490
- DOS(E_F) (states/eV per atom) = 0.686

Cell and atoms, written as POSCAR:
```
Be2FeTe
1.0
2.980 0.000 0.000
0.000 3.908 0.000
-0.439 0.000 4.521
Be Fe Te
2 1 1
Cartesian
0.485 0.000 1.492
2.057 0.000 3.028
1.271 1.954 2.260
0.000 1.954 0.000
```



(19)
DFT (GGA-PBEsol) results for crystalline LiCu2Pt at its relaxed geometry.

- relative energy among the computed polymorphs (meV per atom) = 38
- DOS(E_F) (states/eV per atom) = 0.291
- energy of formation from the pure elements (meV per atom) = -206

Cell and atoms, written as POSCAR:
```
LiCu2Pt
1.0
0.000 2.928 2.928
2.928 0.000 2.928
2.928 2.928 0.000
Li Cu Pt
1 2 1
Cartesian
0.000 0.000 0.000
1.464 1.464 1.464
4.392 4.392 4.392
2.928 2.928 2.928
```



(20)
DFT (GGA-PBEsol) results for crystalline NbIn2AgIr at its relaxed geometry.

- DOS(E_F) (states/eV per atom) = 1.167
- energy of formation from the pure elements (meV per atom) = 1412

Cell and atoms, written as POSCAR:
```
NbIn2AgIr
1.0
4.809 0.000 0.000
0.000 4.809 0.000
0.000 0.000 4.908
Nb In Ag Ir
1 2 1 1
Cartesian
0.000 0.000 0.000
0.000 2.405 2.454
2.405 0.000 2.454
2.405 2.405 2.454
2.405 2.405 0.000
```



(21)
DFT (GGA-PBEsol) results for crystalline LiHf2Pt2 at its relaxed geometry.

- DOS(E_F) (states/eV per atom) = 0.600
- energy of formation from the pure elements (meV per atom) = -812

Cell and atoms, written as POSCAR:
```
LiHf2Pt2
1.0
7.561 0.000 0.000
0.000 7.561 0.000
0.000 0.000 3.209
Li Hf Pt
2 4 4
Cartesian
0.000 0.000 0.000
3.781 3.781 0.000
1.224 2.557 1.605
2.557 6.337 1.605
5.005 1.224 1.605
6.337 5.005 1.605
1.032 4.813 0.000
2.749 1.032 0.000
4.813 6.529 0.000
6.529 2.749 0.000
```



Number 1: DFT total energy -6.241 eV per atom. Number 2: DFT total energy -3.919 eV per atom. Number 3: DFT total energy -3.239 eV per atom. Number 4: DFT total energy -8.160 eV per atom. Number 5: DFT total energy -6.021 eV per atom. Number 6: DFT total energy -2.933 eV per atom. Number 7: DFT total energy -6.960 eV per atom. Number 8: DFT total energy -7.608 eV per atom. Number 9: DFT total energy -5.652 eV per atom. Number 10: DFT total energy -4.386 eV per atom. Number 11: DFT total energy -5.380 eV per atom. Number 12: DFT total energy -8.149 eV per atom. Number 13: DFT total energy -2.984 eV per atom. Number 14: DFT total energy -3.929 eV per atom. Number 15: DFT total energy -3.162 eV per atom. Number 16: DFT total energy -2.791 eV per atom. Number 17: DFT total energy -6.173 eV per atom. Number 18: DFT total energy -4.633 eV per atom. Number 19: DFT total energy -4.605 eV per atom. Number 20: DFT total energy -4.573 eV per atom. Number 21: DFT total energy -8.192 eV per atom.